Entry 1:
The following is a SCAN calculation of Mg2ZrPb at its PBEsol-relaxed geometry, from Alexandria.

Cell: 4.378 4.378 4.508 Å, 90.00 90.00 90.00°
Atoms (fractional coordinates):
Mg1 0.000 0.500 0.000
Mg2 0.500 0.000 0.000
Zr1 0.000 0.000 0.500
Pb1 0.500 0.500 0.500

Properties
Space group: P4/mmm
Size of the total moment, μB per formula unit: 0.00
ΔH_f (0 K), eV/atom: -0.2605

***

Entry 2:
The following is a SCAN calculation of SiAgSN2 at its PBEsol-relaxed geometry, from Alexandria.

Cell: 3.959 3.959 5.073 Å, 90.00 90.00 90.00°
Atoms (fractional coordinates):
Si1 0.000 0.000 0.000
Ag1 0.500 0.500 0.500
S1 0.500 0.500 0.000
N1 0.000 0.500 0.500
N2 0.500 0.000 0.500

Properties
Space group: P4/mmm
Uncorrected formation energy, meV/atom: 1844
Size of the total moment, μB per formula unit: 3.15